# 1
First-principles (PBE-GGA) data for a geometry-optimized Y2ReSe structure, as listed in Alexandria via LeMat-Bulk.

Output
- formation energy without anion corrections (eV per atom) = -0.34

a = 6.373 Å, b = 6.373 Å, c = 6.373 Å
α = 148.75°, β = 137.17°, γ = 53.96°
Sites, in units of the cell vectors:
Y (0.000, 0.000, 0.000)
Y (0.728, 0.228, 0.500)
Re (0.491, 0.491, 0.000)
Se (0.319, 0.819, 0.500)

# 2
First-principles (PBE-GGA) data for a geometry-optimized Li2HoTl3 structure, as listed in Alexandria via LeMat-Bulk.

Output
- E above lowest polymorph (meV per atom) = 0.0
- ΔE_f (eV/atom) = -0.272

a = 5.079 Å, b = 5.079 Å, c = 12.609 Å
α = 90.00°, β = 90.00°, γ = 120.00°
Sites, in units of the cell vectors:
Li (0.000, 0.000, 0.000)
Li (0.000, 0.000, 0.500)
Li (0.333, 0.667, 0.167)
Li (0.667, 0.333, 0.833)
Ho (0.333, 0.667, 0.667)
Ho (0.667, 0.333, 0.333)
Tl (0.000, 0.000, 0.235)
Tl (0.000, 0.000, 0.765)
Tl (0.333, 0.667, 0.417)
Tl (0.333, 0.667, 0.926)
Tl (0.667, 0.333, 0.074)
Tl (0.667, 0.333, 0.583)

# 3
First-principles (PBE-GGA) data for a geometry-optimized Hf3Te3P structure, as listed in Alexandria via LeMat-Bulk.

Output
- formation energy without anion corrections (eV per atom) = -0.94

a = 8.062 Å, b = 3.889 Å, c = 11.123 Å
α = 90.00°, β = 90.12°, γ = 90.00°
Sites, in units of the cell vectors:
Hf (0.096, 0.250, 0.386)
Hf (0.115, 0.250, 0.845)
Hf (0.317, 0.750, 0.622)
Hf (0.683, 0.250, 0.378)
Hf (0.885, 0.750, 0.155)
Hf (0.904, 0.750, 0.614)
Te (0.148, 0.250, 0.122)
Te (0.374, 0.750, 0.875)
Te (0.385, 0.750, 0.367)
Te (0.615, 0.250, 0.633)
Te (0.626, 0.250, 0.125)
Te (0.852, 0.750, 0.878)
P (0.113, 0.250, 0.618)
P (0.887, 0.750, 0.382)

# 4
First-principles (PBE-GGA) data for a geometry-optimized LiSnB structure, as listed in Alexandria via LeMat-Bulk.

Output
- E above lowest polymorph (meV per atom) = 541.4
- ΔE_f (eV/atom) = 0.451

a = 7.679 Å, b = 7.679 Å, c = 7.679 Å
α = 151.50°, β = 54.10°, γ = 135.03°
Sites, in units of the cell vectors:
Li (0.000, 0.000, 0.000)
Li (0.101, 0.445, 0.656)
Li (0.789, 0.445, 0.344)
Sn (0.152, 0.318, 0.833)
Sn (0.485, 0.318, 0.167)
Sn (0.624, 0.124, 0.500)
B (0.326, 0.035, 0.291)
B (0.395, 0.395, 0.000)
B (0.744, 0.035, 0.709)

# 5
First-principles (PBE-GGA) data for a geometry-optimized La3TmTh structure, as listed in Alexandria via LeMat-Bulk.

Output
- E above lowest polymorph (meV per atom) = 18.9
- ΔE_f (eV/atom) = 0.158

a = 9.411 Å, b = 9.411 Å, c = 6.346 Å
α = 109.60°, β = 109.60°, γ = 41.34°
Sites, in units of the cell vectors:
La (0.081, 0.613, 0.597)
La (0.290, 0.290, 0.041)
La (0.387, 0.919, 0.403)
La (0.613, 0.081, 0.597)
La (0.710, 0.710, 0.959)
La (0.919, 0.387, 0.403)
Tm (0.052, 0.052, 0.802)
Tm (0.948, 0.948, 0.198)
Th (0.500, 0.500, 0.000)
Th (0.500, 0.500, 0.500)

# 6
First-principles (PBE-GGA) data for a geometry-optimized Li2SiAg5 structure, as listed in Alexandria via LeMat-Bulk.

Output
- formation energy without anion corrections (eV per atom) = -0.10

a = 5.505 Å, b = 10.987 Å, c = 4.309 Å
α = 90.00°, β = 90.00°, γ = 90.00°
Sites, in units of the cell vectors:
Li (0.193, 0.134, 0.000)
Li (0.307, 0.634, 0.000)
Li (0.693, 0.366, 0.000)
Li (0.807, 0.866, 0.000)
Si (0.000, 0.500, 0.500)
Si (0.500, 0.000, 0.500)
Ag (0.000, 0.000, 0.500)
Ag (0.074, 0.739, 0.500)
Ag (0.194, 0.390, 0.000)
Ag (0.306, 0.890, 0.000)
Ag (0.426, 0.239, 0.500)
Ag (0.500, 0.500, 0.500)
Ag (0.574, 0.761, 0.500)
Ag (0.694, 0.110, 0.000)
Ag (0.806, 0.610, 0.000)
Ag (0.926, 0.261, 0.500)

# 7
First-principles (PBE-GGA) data for a geometry-optimized ZrZnPb2S5 structure, as listed in Alexandria via LeMat-Bulk.

Output
- formation energy without anion corrections (eV per atom) = -0.89

a = 8.761 Å, b = 8.761 Å, c = 12.796 Å
α = 90.00°, β = 90.00°, γ = 154.63°
Sites, in units of the cell vectors:
Zr (0.211, 0.789, 0.500)
Zr (0.789, 0.211, 0.000)
Zn (0.440, 0.560, 0.915)
Zn (0.560, 0.440, 0.415)
Pb (0.097, 0.903, 0.135)
Pb (0.125, 0.875, 0.789)
Pb (0.875, 0.125, 0.289)
Pb (0.903, 0.097, 0.635)
S (0.055, 0.945, 0.520)
S (0.280, 0.720, 0.137)
S (0.302, 0.698, 0.864)
S (0.358, 0.642, 0.475)
S (0.498, 0.502, 0.256)
S (0.502, 0.498, 0.756)
S (0.642, 0.358, 0.975)
S (0.698, 0.302, 0.364)
S (0.720, 0.280, 0.637)
S (0.945, 0.055, 0.020)

# 8
First-principles (PBE-GGA) data for a geometry-optimized CrPtSBr2 structure, as listed in Alexandria via LeMat-Bulk.

Output
- formation energy without anion corrections (eV per atom) = 0.92

a = 5.260 Å, b = 5.260 Å, c = 4.449 Å
α = 90.00°, β = 90.00°, γ = 90.00°
Sites, in units of the cell vectors:
Cr (0.000, 0.000, 0.000)
Pt (0.500, 0.500, 0.000)
S (0.000, 0.000, 0.500)
Br (0.000, 0.500, 0.500)
Br (0.500, 0.000, 0.500)

# 9
First-principles (PBE-GGA) data for a geometry-optimized Pm2PPd structure, as listed in Alexandria via LeMat-Bulk.

Output
- E above lowest polymorph (meV per atom) = 90.2
- ΔE_f (eV/atom) = -0.947

a = 3.588 Å, b = 3.588 Å, c = 7.072 Å
α = 90.00°, β = 90.00°, γ = 90.00°
Sites, in units of the cell vectors:
Pm (0.000, 0.000, 0.238)
Pm (0.000, 0.000, 0.762)
P (0.500, 0.500, 0.000)
Pd (0.500, 0.500, 0.500)

# 10
First-principles (PBE-GGA) data for a geometry-optimized Rb2AgCI6 structure, as listed in Alexandria via LeMat-Bulk.

Output
- formation energy without anion corrections (eV per atom) = -0.12

a = 7.969 Å, b = 7.969 Å, c = 7.969 Å
α = 120.24°, β = 120.24°, γ = 89.59°
Sites, in units of the cell vectors:
Rb (0.250, 0.750, 0.500)
Rb (0.750, 0.250, 0.500)
Ag (0.000, 0.000, 0.000)
C (0.500, 0.500, 0.000)
I (0.262, 0.262, 0.000)
I (0.262, 0.262, 0.524)
I (0.262, 0.738, 0.000)
I (0.738, 0.262, 0.000)
I (0.738, 0.738, 0.000)
I (0.738, 0.738, 0.476)

# 11
First-principles (PBE-GGA) data for a geometry-optimized Cs2CaIr structure, as listed in Alexandria via LeMat-Bulk.

Output
- E above lowest polymorph (meV per atom) = 187.3
- ΔE_f (eV/atom) = 1.137

a = 9.139 Å, b = 9.139 Å, c = 9.139 Å
α = 119.92°, β = 119.92°, γ = 90.13°
Sites, in units of the cell vectors:
Cs (0.375, 0.130, 0.255)
Cs (0.870, 0.125, 0.245)
Cs (0.875, 0.120, 0.745)
Cs (0.880, 0.625, 0.755)
Ca (0.250, 0.750, 0.500)
Ca (0.500, 0.500, 0.000)
Ir (0.000, 0.000, 0.000)
Ir (0.750, 0.250, 0.500)

# 12
First-principles (PBE-GGA) data for a geometry-optimized CeMnGa structure, as listed in Alexandria via LeMat-Bulk.

Output
- ΔE_f (eV/atom) = -0.187

a = 4.590 Å, b = 4.590 Å, c = 3.336 Å
α = 90.00°, β = 90.00°, γ = 120.00°
Sites, in units of the cell vectors:
Ce (0.000, 0.000, 0.000)
Mn (0.667, 0.333, 0.500)
Ga (0.333, 0.667, 0.500)

# 13
First-principles (PBE-GGA) data for a geometry-optimized NdUOs2 structure, as listed in Alexandria via LeMat-Bulk.

Output
- ΔE_f (eV/atom) = -0.053

a = 6.508 Å, b = 5.020 Å, c = 10.421 Å
α = 90.00°, β = 90.00°, γ = 90.00°
Sites, in units of the cell vectors:
Nd (0.195, 0.250, 0.160)
Nd (0.305, 0.750, 0.660)
Nd (0.695, 0.250, 0.340)
Nd (0.805, 0.750, 0.840)
U (0.029, 0.750, 0.379)
U (0.471, 0.250, 0.879)
U (0.529, 0.750, 0.121)
U (0.971, 0.250, 0.621)
Os (0.087, 0.250, 0.862)
Os (0.241, 0.250, 0.464)
Os (0.259, 0.750, 0.964)
Os (0.413, 0.750, 0.362)
Os (0.587, 0.250, 0.638)
Os (0.741, 0.250, 0.036)
Os (0.759, 0.750, 0.536)
Os (0.913, 0.750, 0.138)

# 14
First-principles (PBE-GGA) data for a geometry-optimized KRbIn2 structure, as listed in Alexandria via LeMat-Bulk.

Output
- E above lowest polymorph (meV per atom) = 20.1
- ΔE_f (eV/atom) = -0.076

a = 7.014 Å, b = 5.202 Å, c = 9.393 Å
α = 90.00°, β = 98.01°, γ = 90.00°
Sites, in units of the cell vectors:
K (0.131, 0.250, 0.152)
K (0.869, 0.750, 0.848)
Rb (0.257, 0.750, 0.489)
Rb (0.743, 0.250, 0.511)
In (0.294, 0.250, 0.776)
In (0.382, 0.750, 0.948)
In (0.618, 0.250, 0.052)
In (0.706, 0.750, 0.224)

# 15
First-principles (PBE-GGA) data for a geometry-optimized TiV2GeH structure, as listed in Alexandria via LeMat-Bulk.

Output
- final energy (eV per atom) = -7.156

a = 3.795 Å, b = 3.795 Å, c = 4.100 Å
α = 90.00°, β = 90.00°, γ = 90.00°
Sites, in units of the cell vectors:
Ti (0.000, 0.000, 0.000)
V (0.000, 0.500, 0.500)
V (0.500, 0.000, 0.500)
Ge (0.500, 0.500, 0.000)
H (0.000, 0.000, 0.500)

# 16
First-principles (PBE-GGA) data for a geometry-optimized InHg3Br structure, as listed in Alexandria via LeMat-Bulk.

Output
- E above lowest polymorph (meV per atom) = 460.4
- formation energy without anion corrections (eV per atom) = 0.27

a = 6.254 Å, b = 6.254 Å, c = 6.254 Å
α = 90.00°, β = 90.00°, γ = 90.00°
Sites, in units of the cell vectors:
In (0.000, 0.000, 0.000)
Hg (0.000, 0.500, 0.500)
Hg (0.500, 0.000, 0.500)
Hg (0.500, 0.500, 0.000)
Br (0.500, 0.500, 0.500)

# 17
First-principles (PBE-GGA) data for a geometry-optimized ThCo4B4 structure, as listed in Alexandria via LeMat-Bulk.

Output
- E above lowest polymorph (meV per atom) = 0.0
- ΔE_f (eV/atom) = -0.487

a = 7.101 Å, b = 7.101 Å, c = 3.799 Å
α = 90.00°, β = 90.00°, γ = 90.00°
Sites, in units of the cell vectors:
Th (0.250, 0.250, 0.250)
Th (0.750, 0.750, 0.750)
Co (0.104, 0.635, 0.146)
Co (0.135, 0.896, 0.646)
Co (0.365, 0.604, 0.646)
Co (0.396, 0.865, 0.146)
Co (0.604, 0.135, 0.854)
Co (0.635, 0.396, 0.354)
Co (0.865, 0.104, 0.354)
Co (0.896, 0.365, 0.854)
B (0.044, 0.911, 0.148)
B (0.089, 0.544, 0.648)
B (0.411, 0.956, 0.648)
B (0.456, 0.589, 0.148)
B (0.544, 0.411, 0.852)
B (0.589, 0.044, 0.352)
B (0.911, 0.456, 0.352)
B (0.956, 0.089, 0.852)

# 18
First-principles (PBE-GGA) data for a geometry-optimized ScFe4B structure, as listed in Alexandria via LeMat-Bulk.

Output
- ΔE_f (eV/atom) = 0.287

a = 3.789 Å, b = 3.789 Å, c = 6.001 Å
α = 90.00°, β = 90.00°, γ = 90.00°
Sites, in units of the cell vectors:
Sc (0.000, 0.000, 0.000)
Fe (0.000, 0.500, 0.500)
Fe (0.500, 0.000, 0.500)
Fe (0.500, 0.500, 0.183)
Fe (0.500, 0.500, 0.817)
B (0.500, 0.500, 0.500)

# 19
First-principles (PBE-GGA) data for a geometry-optimized MgBe2Cd structure, as listed in Alexandria via LeMat-Bulk.

Output
- E above lowest polymorph (meV per atom) = 279.5
- ΔE_f (eV/atom) = 0.570

a = 8.489 Å, b = 8.489 Å, c = 8.489 Å
α = 20.07°, β = 20.07°, γ = 20.07°
Sites, in units of the cell vectors:
Mg (0.000, 0.000, 0.000)
Be (0.248, 0.248, 0.248)
Be (0.752, 0.752, 0.752)
Cd (0.500, 0.500, 0.500)

# 20
First-principles (PBE-GGA) data for a geometry-optimized Li4UTi3S8 structure, as listed in Alexandria via LeMat-Bulk.

Output
- formation energy without anion corrections (eV per atom) = -1.39

a = 7.439 Å, b = 7.439 Å, c = 7.439 Å
α = 57.83°, β = 57.83°, γ = 57.83°
Sites, in units of the cell vectors:
Li (0.000, 0.000, 0.000)
Li (0.000, 0.500, 0.500)
Li (0.500, 0.000, 0.500)
Li (0.500, 0.500, 0.000)
U (0.500, 0.500, 0.500)
Ti (0.000, 0.000, 0.500)
Ti (0.000, 0.500, 0.000)
Ti (0.500, 0.000, 0.000)
S (0.232, 0.756, 0.756)
S (0.244, 0.244, 0.244)
S (0.244, 0.244, 0.768)
S (0.244, 0.768, 0.244)
S (0.756, 0.232, 0.756)
S (0.756, 0.756, 0.232)
S (0.756, 0.756, 0.756)
S (0.768, 0.244, 0.244)